{
  "formula": "PSN",
  "functional": "PBE",
  "state": "relaxed",
  "lattice": [[-2.434, 3.038, 4.081], [-4.886, 0.576, -3.345], [-1.121, -3.539, 1.967]],
  "species": ["P", "P", "S", "S", "N", "N"],
  "frac_coords": [[0.023, 0.066, 0.270], [0.523, 0.218, 0.402], [0.523, 0.491, 0.079], [0.023, 0.794, 0.593], [0.523, 0.299, 0.768], [0.023, 0.985, 0.903]],
  "raw_formation_energy_mev_per_atom": 338,
  "space_group": "P2_1/m",
  "e_above_lowest_polymorph_ev_per_atom": 0.314
}

***

{
  "formula": "Tl2AgPd",
  "functional": "PBE",
  "state": "relaxed",
  "lattice": [[-2.488, -1.131, -1.749], [0.465, -2.430, -2.099], [-2.748, -7.864, 5.988]],
  "species": ["Tl", "Tl", "Pd", "Ag"],
  "frac_coords": [[0.093, 0.093, 0.720], [0.907, 0.907, 0.280], [0.500, 0.500, 0.500], [0.000, 0.000, 0.000]],
  "ef_ev_per_atom": 0.119,
  "space_group": "R-3m",
  "e_above_lowest_polymorph_ev_per_atom": 0.074
}

***

{
  "formula": "VHPt2S",
  "functional": "PBE",
  "state": "relaxed",
  "lattice": [[-4.319, 1.525, -1.583], [-1.405, -2.298, 1.621], [-0.371, 2.935, 3.839]],
  "species": ["H", "S", "Pt", "Pt", "V"],
  "frac_coords": [[0.000, 0.500, 0.000], [0.500, 0.500, 0.500], [0.000, 0.000, 0.500], [0.500, 0.000, 0.000], [0.000, 0.000, 0.000]],
  "space_group": "P4/mmm",
  "e_tot_ev_per_cell": -25.5
}

***

{
  "formula": "Ba2PrRh9",
  "functional": "PBE",
  "state": "relaxed",
  "lattice": [[5.213, 0.000, 1.551], [2.375, 4.640, 1.551], [-0.022, -0.013, 9.607]],
  "species": ["Ba", "Ba", "Pr", "Rh", "Rh", "Rh", "Rh", "Rh", "Rh", "Rh", "Rh", "Rh"],
  "frac_coords": [[0.859, 0.859, 0.424], [0.141, 0.141, 0.576], [0.000, 0.000, 0.000], [0.668, 0.668, 0.995], [0.332, 0.332, 0.005], [0.500, 0.500, 0.500], [0.426, 0.426, 0.231], [0.916, 0.426, 0.231], [0.426, 0.916, 0.231], [0.574, 0.574, 0.769], [0.574, 0.084, 0.769], [0.084, 0.574, 0.769]],
  "ef_ev_per_atom": -0.180,
  "space_group": "R-3m"
}

***

{
  "formula": "PaBRu3",
  "functional": "PBE",
  "state": "relaxed",
  "lattice": [[-0.649, 1.353, -3.924], [1.111, -3.771, -1.484], [-4.000, -1.267, 0.225]],
  "species": ["Ru", "Ru", "Ru", "B", "Pa"],
  "frac_coords": [[0.000, 0.500, 0.000], [0.000, 0.000, 0.500], [0.500, 0.000, 0.000], [0.000, 0.000, 0.000], [0.500, 0.500, 0.500]],
  "ef_ev_per_atom": -0.604,
  "space_group": "Pm-3m"
}

***

{
  "formula": "CaGaGe2",
  "functional": "PBE",
  "state": "relaxed",
  "lattice": [[3.204, 0.000, 0.000], [0.000, 5.376, -0.466], [0.000, -1.724, 5.114]],
  "species": ["Ca", "Ga", "Ge", "Ge"],
  "frac_coords": [[0.000, 0.957, 0.043], [0.500, 0.432, 0.568], [0.500, 0.924, 0.533], [0.500, 0.467, 0.076]],
  "ef_ev_per_atom": -0.226,
  "space_group": "Amm2"
}